VASP calculation (PBE+U) on Pa2AlCrO8 after structural relaxation.

Its crystal system is monoclinic. The final energy is -8.81 eV/atom. For the density of states at the Fermi level, the calculation gives 0.000 states/eV per atom.

The space group is C2/m (No. 12) and the conventional cell measures 6.577, 6.748 and 6.880 Å, with angles of 90.00, 90.00 and 90.00 degrees. The inequivalent atoms are Pa at (0.013, 0.000, 0.252), Al at (0.000, 0.500, 0.500), Cr at (0.000, 0.500, 0.000), O at (0.009, 0.317, 0.742), O at (0.201, 0.000, 0.990) and O at (0.213, 0.000, 0.509).